No. 1
First-principles (PBE) data for an optimized crystal structure of YTa3P, as listed in Alexandria via LeMat-Bulk.

Summary:
- crystal system = cubic
- uncorrected energy (eV/atom) = -9.368
- M_tot (μB/cell) = 0.00
- ρ (g cm⁻³) = 10.46
- energy relative to the lowest polymorph listed for this composition (eV/f.u.) = 0.00
- calculated volume (Å³ per atom) = 21.0
- ΔH_f (0 K) (eV/atom) = 0.118

Geometry as CIF:
```
data_YTa3P
_chemical_formula_sum 'Y1 Ta3 P1'
_space_group_name_H-M_alt 'P m -3 m'
_space_group_IT_number 221
_space_group_name_Hall '-P 4 2 3'
_cell_length_a 4.7206
_cell_length_b 4.7206
_cell_length_c 4.7206
_cell_angle_alpha 90.00
_cell_angle_beta 90.00
_cell_angle_gamma 90.00
loop_
_atom_site_label
_atom_site_fract_x
_atom_site_fract_y
_atom_site_fract_z
_atom_site_occupancy
Y1 0.0000 0.0000 0.0000 1
Ta1 0.0000 0.5000 0.5000 1
P1 0.5000 0.5000 0.5000 1
```

---

No. 2
First-principles (PBE) data for an optimized crystal structure of YTaP, as listed in Alexandria via LeMat-Bulk.

Summary:
- crystal system = hexagonal
- uncorrected energy (eV/atom) = -8.263
- M_tot (μB/cell) = 0.00
- ρ (g cm⁻³) = 7.91
- calculated volume (Å³ per atom) = 21.1
- ΔH_f (0 K) (eV/atom) = -0.354

Geometry as CIF:
```
data_YTaP
_chemical_formula_sum 'Y1 Ta1 P1'
_space_group_name_H-M_alt 'P -6 m 2'
_space_group_IT_number 187
_space_group_name_Hall 'P -6 2'
_cell_length_a 4.2454
_cell_length_b 4.2454
_cell_length_c 4.0458
_cell_angle_alpha 90.00
_cell_angle_beta 90.00
_cell_angle_gamma 120.00
loop_
_atom_site_label
_atom_site_fract_x
_atom_site_fract_y
_atom_site_fract_z
_atom_site_occupancy
Y1 0.0000 0.0000 0.0000 1
Ta1 0.3333 0.6667 0.5000 1
P1 0.6667 0.3333 0.5000 1
```

---

No. 3
First-principles (PBE) data for an optimized crystal structure of YTa2P2, as listed in Alexandria via LeMat-Bulk.

Summary:
- crystal system = tetragonal
- uncorrected energy (eV/atom) = -8.696
- M_tot (μB/cell) = 0.00
- ρ (g cm⁻³) = 8.74
- energy relative to the lowest polymorph listed for this composition (eV/f.u.) = 0.62
- calculated volume (Å³ per atom) = 19.5
- ΔH_f (0 K) (eV/atom) = -0.499

Geometry as CIF:
```
data_YTa2P2
_chemical_formula_sum 'Y2 Ta4 P4'
_space_group_name_H-M_alt 'I 4/m m m'
_space_group_IT_number 139
_space_group_name_Hall '-I 4 2'
_cell_length_a 4.7139
_cell_length_b 4.7139
_cell_length_c 8.7727
_cell_angle_alpha 90.00
_cell_angle_beta 90.00
_cell_angle_gamma 90.00
loop_
_atom_site_label
_atom_site_fract_x
_atom_site_fract_y
_atom_site_fract_z
_atom_site_occupancy
Y1 0.0000 0.0000 0.0000 1
Ta1 0.0000 0.0000 0.3526 1
P1 0.0000 0.5000 0.2500 1
```

---

No. 4
First-principles (PBE) data for an optimized crystal structure of YTaP, as listed in Alexandria via LeMat-Bulk.

Summary:
- crystal system = tetragonal
- uncorrected energy (eV/atom) = -8.825
- M_tot (μB/cell) = 0.00
- ρ (g cm⁻³) = 8.57
- calculated volume (Å³ per atom) = 19.4
- ΔH_f (0 K) (eV/atom) = -0.917

Geometry as CIF:
```
data_YTaP
_chemical_formula_sum 'Y2 Ta2 P2'
_space_group_name_H-M_alt 'P 4/n m m'
_space_group_IT_number 129
_cell_length_a 3.9136
_cell_length_b 3.9136
_cell_length_c 7.6156
_cell_angle_alpha 90.00
_cell_angle_beta 90.00
_cell_angle_gamma 90.00
loop_
_space_group_symop_operation_xyz
'x,y,z'
'-x,-y,-z'
'-y+1/2,x,z'
'y+1/2,-x,-z'
'-x+1/2,-y+1/2,z'
'x+1/2,y+1/2,-z'
'y,-x+1/2,z'
'-y,x+1/2,-z'
'x+1/2,-y,-z'
'-x+1/2,y,z'
'-y,-x,-z'
'y,x,z'
'-x,y+1/2,-z'
'x,-y+1/2,z'
'y+1/2,x+1/2,-z'
'-y+1/2,-x+1/2,z'
loop_
_atom_site_label
_atom_site_fract_x
_atom_site_fract_y
_atom_site_fract_z
_atom_site_occupancy
Y1 0.2500 0.2500 0.1415 1
Ta1 0.2500 0.7500 0.5000 1
P1 0.2500 0.2500 0.7419 1
```

---

No. 5
First-principles (PBE) data for an optimized crystal structure of YTaP, as listed in Alexandria via LeMat-Bulk.

Summary:
- crystal system = tetragonal
- uncorrected energy (eV/atom) = -8.452
- M_tot (μB/cell) = 0.00
- ρ (g cm⁻³) = 8.25
- calculated volume (Å³ per atom) = 20.2
- ΔH_f (0 K) (eV/atom) = -0.543

Geometry as CIF:
```
data_YTaP
_chemical_formula_sum 'Y2 Ta2 P2'
_space_group_name_H-M_alt 'I 4 m m'
_space_group_IT_number 107
_space_group_name_Hall 'I 4 -2'
_cell_length_a 3.3717
_cell_length_b 3.3717
_cell_length_c 10.6499
_cell_angle_alpha 90.00
_cell_angle_beta 90.00
_cell_angle_gamma 90.00
loop_
_atom_site_label
_atom_site_fract_x
_atom_site_fract_y
_atom_site_fract_z
_atom_site_occupancy
Y1 0.0000 0.0000 0.0000 1
Ta1 0.0000 0.0000 0.2973 1
P1 0.0000 0.0000 0.7066 1
```

---

No. 6
First-principles (PBE) data for an optimized crystal structure of Y2TaP, as listed in Alexandria via LeMat-Bulk.

Summary:
- crystal system = trigonal
- uncorrected energy (eV/atom) = -7.763
- M_tot (μB/cell) = 0.01
- ρ (g cm⁻³) = 6.76
- calculated volume (Å³ per atom) = 23.9
- ΔH_f (0 K) (eV/atom) = -0.216

Geometry as CIF:
```
data_Y2TaP
_chemical_formula_sum 'Y6 Ta3 P3'
_space_group_name_H-M_alt 'R -3 m'
_space_group_IT_number 166
_space_group_name_Hall '-R 3 2"'
_cell_length_a 3.5924
_cell_length_b 3.5924
_cell_length_c 25.6904
_cell_angle_alpha 90.00
_cell_angle_beta 90.00
_cell_angle_gamma 120.00
loop_
_atom_site_label
_atom_site_fract_x
_atom_site_fract_y
_atom_site_fract_z
_atom_site_occupancy
Y1 0.0000 0.0000 0.2355 1
Ta1 0.0000 0.0000 0.0000 1
P1 0.0000 0.0000 0.5000 1
```

---

No. 7
First-principles (PBE) data for an optimized crystal structure of Y2TaP, as listed in Alexandria via LeMat-Bulk.

Summary:
- crystal system = orthorhombic
- uncorrected energy (eV/atom) = -7.981
- M_tot (μB/cell) = 0.00
- ρ (g cm⁻³) = 7.00
- calculated volume (Å³ per atom) = 23.1
- ΔH_f (0 K) (eV/atom) = -0.433

Geometry as CIF:
```
data_Y2TaP
_chemical_formula_sum 'Y4 Ta2 P2'
_space_group_name_H-M_alt 'A m m 2'
_space_group_IT_number 38
_space_group_name_Hall 'A 2 -2'
_cell_length_a 4.0963
_cell_length_b 4.1097
_cell_length_c 10.9852
_cell_angle_alpha 90.00
_cell_angle_beta 90.00
_cell_angle_gamma 90.00
loop_
_atom_site_label
_atom_site_fract_x
_atom_site_fract_y
_atom_site_fract_z
_atom_site_occupancy
Y1 0.0000 0.0000 0.0000 1
Y2 0.5000 0.0000 0.2941 1
Ta1 0.0000 0.0000 0.7125 1
P1 0.5000 0.0000 0.5779 1
```

---

No. 8
First-principles (PBE) data for an optimized crystal structure of Y2TaP, as listed in Alexandria via LeMat-Bulk.

Summary:
- crystal system = tetragonal
- uncorrected energy (eV/atom) = -7.940
- M_tot (μB/cell) = 0.00
- ρ (g cm⁻³) = 6.98
- calculated volume (Å³ per atom) = 23.2
- ΔH_f (0 K) (eV/atom) = -0.392

Geometry as CIF:
```
data_Y2TaP
_chemical_formula_sum 'Y2 Ta1 P1'
_space_group_name_H-M_alt 'P 4 m m'
_space_group_IT_number 99
_space_group_name_Hall 'P 4 -2'
_cell_length_a 3.3797
_cell_length_b 3.3797
_cell_length_c 8.1205
_cell_angle_alpha 90.00
_cell_angle_beta 90.00
_cell_angle_gamma 90.00
loop_
_atom_site_label
_atom_site_fract_x
_atom_site_fract_y
_atom_site_fract_z
_atom_site_occupancy
Y1 0.0000 0.0000 0.0000 1
Y2 0.5000 0.5000 0.3740 1
Ta1 0.5000 0.5000 0.7384 1
P1 0.0000 0.0000 0.6095 1
```

---

Copy entry 7 word for word.
First-principles (PBE) data for an optimized crystal structure of Y2TaP, as listed in Alexandria via LeMat-Bulk.

Summary:
- crystal system = orthorhombic
- uncorrected energy (eV/atom) = -7.981
- M_tot (μB/cell) = 0.00
- ρ (g cm⁻³) = 7.00
- calculated volume (Å³ per atom) = 23.1
- ΔH_f (0 K) (eV/atom) = -0.433

Geometry as CIF:
```
data_Y2TaP
_chemical_formula_sum 'Y4 Ta2 P2'
_space_group_name_H-M_alt 'A m m 2'
_space_group_IT_number 38
_space_group_name_Hall 'A 2 -2'
_cell_length_a 4.0963
_cell_length_b 4.1097
_cell_length_c 10.9852
_cell_angle_alpha 90.00
_cell_angle_beta 90.00
_cell_angle_gamma 90.00
loop_
_atom_site_label
_atom_site_fract_x
_atom_site_fract_y
_atom_site_fract_z
_atom_site_occupancy
Y1 0.0000 0.0000 0.0000 1
Y2 0.5000 0.0000 0.2941 1
Ta1 0.0000 0.0000 0.7125 1
P1 0.5000 0.0000 0.5779 1
```